# FeNi2IrPt2 GGA-PBE relaxed
# Density of states at the Fermi level in states/eV/atom: 1.387
# Volume in Å³ per atom: 13.58
# E_tot in eV/atom: -6.824
data_FeNi2IrPt2
_chemical_formula_sum 'Fe2 Ni4 Ir2 Pt4'
_space_group_name_H-M_alt 'P n n m'
_space_group_IT_number 58
_cell_length_a 5.160
_cell_length_b 7.396
_cell_length_c 4.272
_cell_angle_alpha 90.00
_cell_angle_beta 90.00
_cell_angle_gamma 90.00
loop_
_space_group_symop_operation_xyz
'x,y,z'
'-x,-y,-z'
'-x,-y,z'
'x,y,-z'
'x+1/2,-y+1/2,-z+1/2'
'-x+1/2,y+1/2,z+1/2'
'-x+1/2,y+1/2,-z+1/2'
'x+1/2,-y+1/2,z+1/2'
loop_
_atom_site_label
_atom_site_type_symbol
_atom_site_fract_x
_atom_site_fract_y
_atom_site_fract_z
_atom_site_occupancy
Fe1 Fe 0.000 0.000 0.000 1
Ni1 Ni 0.240 0.333 0.000 1
Ir1 Ir 0.000 0.500 0.500 1
Pt1 Pt 0.243 0.166 0.500 1